# ThMgSb2

A relaxed ThMgSb2 crystal (PBE, the Alexandria database).

Cell: 4.040 4.040 6.612 Å, 90.00 90.00 90.00°
Atoms (fractional coordinates):
Th1 0.000 0.000 0.000
Mg1 0.000 0.000 0.500
Sb1 0.500 0.500 0.255
Sb2 0.500 0.500 0.745

## Properties
SG: P4/mmm
M_tot, μB/f.u.: 0.0
Raw formation energy, eV per atom: -0.518